Entry from Alexandria: Ga2FeMoO6 after structural relaxation (GGA+U).

a b c (Å): 7.076 7.076 5.831
angles (deg): 107.08 107.08 80.24
Positions (direct):
1 Ga 0.125 0.284 0.171
2 Ga 0.284 0.125 0.671
3 Ga 0.716 0.875 0.329
4 Ga 0.875 0.716 0.829
5 Fe 0.404 0.596 0.750
6 Fe 0.596 0.404 0.250
7 Mo 0.240 0.760 0.250
8 Mo 0.760 0.240 0.750
9 O 0.078 0.219 0.819
10 O 0.149 0.661 0.876
11 O 0.219 0.078 0.319
12 O 0.298 0.481 0.322
13 O 0.339 0.851 0.624
14 O 0.481 0.298 0.822
15 O 0.519 0.702 0.178
16 O 0.661 0.149 0.376
17 O 0.702 0.519 0.678
18 O 0.781 0.922 0.681
19 O 0.851 0.339 0.124
20 O 0.922 0.781 0.181

Output
E_tot = -6.52 eV/atom
Total magnetic moment = 11.95 μB per cell
Symmetry = C2/c